Density functional theory data (GGA-PBE) for PaAs2Br2O6 after structural relaxation.

Lattice parameters (Å, degrees): 6.3023 6.3023 6.6868 90.00 90.00 120.00
Space group P-3m1 (No. 164)
Inequivalent atoms, fractional coordinates:
Pa  0.0000  0.0000  0.0000 [1 per cell]
As  0.3333  0.6667  0.9345 [2 per cell]
Br  0.3333  0.6667  0.2979 [2 per cell]
O  0.1821  0.3642  0.8462 [6 per cell]

Values from the calculation:
- Total moment: 0.817 μB/cell
- V: 20.9 A^3/atom
- ρ: 4.6 g/cm³

Density functional theory data (GGA-PBE) for LiBSe2Br after structural relaxation.

Lattice parameters (Å, degrees): 4.217 4.217 7.919 90.00 90.00 90.00
Space group P4/mmm (No. 123)
Inequivalent atoms, fractional coordinates:
Li  0.000  0.000  0.000 [1 per cell]
B  0.500  0.500  0.500 [1 per cell]
Se  0.000  0.500  0.500 [2 per cell]
Br  0.500  0.500  0.000 [1 per cell]

Values from the calculation:
- Distance to the lowest polymorph of the same formula: 0.000 eV per atom
- Total moment: 0.000 μB/cell
- V: 28.2 A^3/atom
- ρ: 3.0 g/cm³

Density functional theory data (GGA-PBE) for Pm3ZnSCl after structural relaxation.

Lattice parameters (Å, degrees): 7.755 3.987 10.810 90.00 108.00 90.00
Space group P2_1/m (No. 11)
Inequivalent atoms, fractional coordinates:
Pm  0.174  0.250  0.141 [2 per cell]
Pm  0.206  0.250  0.491 [2 per cell]
Pm  0.320  0.750  0.839 [2 per cell]
Zn  0.012  0.250  0.714 [2 per cell]
S  0.408  0.750  0.109 [2 per cell]
Cl  0.475  0.750  0.622 [2 per cell]

Values from the calculation:
- Total moment: 0.674 μB/cell
- V: 26.5 A^3/atom
- ρ: 5.9 g/cm³

Density functional theory data (GGA-PBE) for K2SiCBr after structural relaxation.

Lattice parameters (Å, degrees): 6.084 6.084 3.613 90.00 90.00 90.00
Space group P4/mmm (No. 123)
Inequivalent atoms, fractional coordinates:
K  0.000  0.500  0.000 [2 per cell]
Si  0.000  0.000  0.500 [1 per cell]
C  0.000  0.000  0.000 [1 per cell]
Br  0.500  0.500  0.500 [1 per cell]

Values from the calculation:
- Total moment: 0.000 μB/cell
- V: 26.7 A^3/atom
- ρ: 2.5 g/cm³

Density functional theory data (GGA-PBE) for YTh2CoC2 after structural relaxation.

Lattice parameters (Å, degrees): 5.732 11.052 3.710 90.00 90.00 90.00
Space group Pnnm (No. 58)
Inequivalent atoms, fractional coordinates:
Y  0.000  0.000  0.000 [2 per cell]
Th  0.020  0.298  0.500 [4 per cell]
Co  0.000  0.500  0.000 [2 per cell]
C  0.238  0.888  0.500 [4 per cell]

Values from the calculation:
- Total moment: 0.000 μB/cell
- V: 19.6 A^3/atom
- ρ: 9.0 g/cm³

Density functional theory data (GGA-PBE) for BaReAg2 after structural relaxation.

Lattice parameters (Å, degrees): 4.531 4.531 9.243 90.00 90.00 90.00
Space group I-4m2 (No. 119)
Inequivalent atoms, fractional coordinates:
Ba  0.000  0.000  0.000 [2 per cell]
Re  0.000  0.500  0.750 [2 per cell]
Ag  0.000  0.000  0.500 [2 per cell]
Ag  0.000  0.500  0.250 [2 per cell]

Values from the calculation:
- Distance to the lowest polymorph of the same formula: 0.243 eV per atom
- Total moment: 5.637 μB/cell
- V: 23.7 A^3/atom
- ρ: 9.4 g/cm³

Density functional theory data (GGA-PBE) for LaPr5Cd6 after structural relaxation.

Lattice parameters (Å, degrees): 5.489 7.820 8.679 90.00 108.23 90.00
Space group P2/m (No. 10)
Inequivalent atoms, fractional coordinates:
La  0.000  0.000  0.000 [1 per cell]
Pr  0.000  0.500  0.000 [1 per cell]
Pr  0.333  0.000  0.666 [2 per cell]
Pr  0.334  0.500  0.669 [2 per cell]
Cd  0.168  0.252  0.336 [4 per cell]
Cd  0.500  0.252  0.000 [2 per cell]

Values from the calculation:
- Total moment: 2.154 μB/cell
- V: 29.5 A^3/atom
- ρ: 7.1 g/cm³

Density functional theory data (GGA-PBE) for Nd3NiN after structural relaxation.

Lattice parameters (Å, degrees): 8.499 6.278 9.087 90.00 113.89 90.00
Space group P2_1/c (No. 14)
Inequivalent atoms, fractional coordinates:
Nd  0.086  0.075  0.359 [4 per cell]
Nd  0.206  0.595  0.553 [4 per cell]
Nd  0.371  0.108  0.768 [4 per cell]
Ni  0.424  0.648  0.917 [4 per cell]
N  0.080  0.247  0.603 [4 per cell]

Values from the calculation:
- Total moment: 0.000 μB/cell
- V: 22.2 A^3/atom
- ρ: 7.6 g/cm³

In order of appearance, energy = -0.4594, -0.2458, -0.3502, -0.2843, -0.5882, -0.2923, -0.2337, -0.4577 Ry per atom.